Compound: Pr2CdIn
Source: Alexandria
Functional: PBE
Structure: relaxed

Lattice parameters (Å, degrees): 3.8414 3.8414 30.0079 90.00 90.00 120.00
Space group R-3m (No. 166, hexagonal axes)
Symmetry-distinct sites (fractional):
Pr 0.0000 0.0000 0.2494 (multiplicity 6)
Cd 0.0000 0.0000 0.0000 (multiplicity 3)
In 0.0000 0.0000 0.5000 (multiplicity 3)

Calculated values
The density of states at the Fermi level comes out at 0.960 states/eV per atom. Its energy relative to the elements is -0.21 eV per atom. For the uncorrected energy, the calculation gives -42.17 eV for the cell shown.